No. 1
# AcTbPb2

AcTbPb2 after structural relaxation (PBE, the Alexandria database).

Cell: 3.6992 6.2615 6.2615 Å, 108.02 90.00 90.00°
With the nearest neighbours (Å) after each atom.
Sites, in units of the cell vectors:
Ac  0.0000  0.0363  0.9637  8 Pb 3.61-3.68, 2 Ac 3.70
Tb  0.5000  0.5707  0.4293  4 Pb 3.11-3.17
Pb  0.5000  0.0791  0.4710  2 Tb 3.11-3.17, 1 Pb 3.31
Pb  0.5000  0.5290  0.9209  2 Tb 3.11-3.17, 1 Pb 3.31

Values from the calculation:
The calculation puts the formation energy from the elements at -0.323 eV/atom. The density comes out at 9.64 g cm⁻³. The space-group type is Amm2, No. 38.



No. 2
# Ac2TbPb

Ac2TbPb after structural relaxation (PBE, the Alexandria database).

Cell: 3.7080 3.7080 12.9691 Å, 81.78 81.78 60.00°
With the nearest neighbours (Å) after each atom.
Sites, in units of the cell vectors:
Pb  0.5000  0.5000  0.5000  6 Ac 3.61, 6 Pb 3.71
Ac  0.0910  0.0910  0.7269  1 Tb 3.49, 3 Pb 3.61, 6 Ac 3.71
Ac  0.9090  0.9090  0.2731  1 Tb 3.49, 3 Pb 3.61, 6 Ac 3.71
Tb  0.0000  0.0000  0.0000  2 Ac 3.49, 6 Tb 3.71

Values from the calculation:
The calculation puts the formation energy from the elements at 0.127 eV/atom. The density comes out at 8.94 g cm⁻³. The space-group type is R-3m, No. 166.



No. 3
# AcTbTePb

AcTbTePb after structural relaxation (PBE, the Alexandria database).

Cell: 4.6427 4.6427 8.0076 Å, 73.15 73.15 60.00°
With the nearest neighbours (Å) after each atom.
Sites, in units of the cell vectors:
Ac  0.6909  0.6909  0.9274  3 Pb 3.33, 3 Te 3.42
Tb  0.1974  0.1974  0.4077  3 Pb 3.14, 3 Te 3.22
Te  0.4516  0.4516  0.6452  3 Tb 3.22, 3 Ac 3.42
Pb  0.9365  0.9365  0.1904  3 Tb 3.14, 3 Ac 3.33

Values from the calculation:
The density comes out at 8.50 g cm⁻³. The space-group type is R3m, No. 160. The value obtained for the energy is -4.880 eV per atom.



Repeat the third record exactly.
# AcTbTePb

AcTbTePb after structural relaxation (PBE, the Alexandria database).

Cell: 4.6427 4.6427 8.0076 Å, 73.15 73.15 60.00°
With the nearest neighbours (Å) after each atom.
Sites, in units of the cell vectors:
Ac  0.6909  0.6909  0.9274  3 Pb 3.33, 3 Te 3.42
Tb  0.1974  0.1974  0.4077  3 Pb 3.14, 3 Te 3.22
Te  0.4516  0.4516  0.6452  3 Tb 3.22, 3 Ac 3.42
Pb  0.9365  0.9365  0.1904  3 Tb 3.14, 3 Ac 3.33

Values from the calculation:
The density comes out at 8.50 g cm⁻³. The space-group type is R3m, No. 160. The value obtained for the energy is -4.880 eV per atom.